1.
Entry from Alexandria via LeMat-Bulk: a geometry-optimized NdZr2Fe9 structure (GGA-PBE).

Cell and atoms, written as POSCAR:
```
NdZr2Fe9
1.0
4.8252 0.0000 1.4361
2.1989 4.2950 1.4361
0.0919 0.0562 8.5158
Nd Zr Fe
1 2 9
Cartesian
0.0000 0.0000 0.0000 Nd
6.0592 3.7050 6.1143 Zr
1.0568 0.6462 5.2735 Zr
4.7794 2.9225 10.4145 Fe
2.3366 1.4288 0.9734 Fe
3.5580 2.1756 5.6939 Fe
2.9319 1.7928 3.3633 Fe
5.3566 1.7928 4.0849 Fe
4.0369 3.9511 4.0849 Fe
4.1841 2.5585 8.0246 Fe
3.0791 0.4002 7.3030 Fe
1.7594 2.5585 7.3030 Fe
```

Calculated values
The total DFT energy (no corrections) comes out at -8.31 eV/atom. The formation energy from the elements comes out at -0.14 eV per atom. Its calculated density is 7.84 g/cm3.

=====

2.
Entry from Alexandria via LeMat-Bulk: a geometry-optimized AcNd3Pa4N12 structure (GGA-PBE).

Cell and atoms, written as POSCAR:
```
AcNd3Pa4N12
1.0
-6.8969 2.6843 -1.0618
0.2424 -7.1621 -2.1319
1.7835 0.5059 7.2431
Ac Nd Pa N
1 3 4 12
Cartesian
0.0000 0.0000 0.0000 Ac
1.0130 -3.3281 2.5556 Nd
-3.3273 -2.2389 -1.5969 Nd
-2.5567 1.5951 3.0907 Nd
-3.4484 1.3422 -0.5309 Pa
-2.4355 -1.9859 2.0247 Pa
0.1212 -3.5811 -1.0660 Pa
0.8918 0.2530 3.6216 Pa
-1.6524 -4.9063 -1.3467 N
-3.2186 0.9344 5.3961 N
-3.7829 -3.5771 1.2288 N
-5.7317 -2.5366 -1.0314 N
-4.9810 1.6345 1.0649 N
-0.7341 -2.8330 0.8549 N
-2.9590 -0.6708 0.2993 N
0.1100 -5.6063 2.9845 N
-1.0880 -0.3948 2.8206 N
0.8607 -1.4353 5.0809 N
-4.1369 -1.1389 3.1945 N
-1.9119 -3.3010 3.7502 N
```

Calculated values
The total DFT energy (no corrections) comes out at -9.02 eV/atom. The value obtained for the formation energy (no corrections) is -1205 meV/atom. Its calculated density is 9.04 g/cm3.

=====

3.
Entry from Alexandria via LeMat-Bulk: a geometry-optimized TaTiF2 structure (GGA-PBE).

Cell and atoms, written as POSCAR:
```
TaTiF2
1.0
1.1193 2.3669 3.3155
-2.2078 3.4721 0.9582
-2.4257 0.0734 3.4581
F Ti Ta
2 1 1
Cartesian
-0.8785 1.4781 1.9329 F
-2.6356 4.4343 5.7988 F
0.0000 0.0000 0.0000 Ti
-1.7571 2.9562 3.8659 Ta
```

Calculated values
The total DFT energy (no corrections) comes out at -6.29 eV/atom. As for the energy above the most stable polymorph in this dataset: 1.090 eV per atom. The value obtained for the formation energy (no corrections) is -415 meV/atom. Its calculated density is 8.31 g/cm3.

=====

4.
Entry from Alexandria via LeMat-Bulk: a geometry-optimized Ti2VOs2 structure (GGA-PBE).

Cell and atoms, written as POSCAR:
```
Ti2VOs2
1.0
7.1963 0.0000 0.0000
0.0000 7.1963 0.0000
0.0000 0.0000 3.0584
V Os Ti
2 4 4
Cartesian
0.0000 0.0000 0.0000 V
3.5982 3.5982 0.0000 V
2.5634 6.1615 0.0000 Os
6.1615 4.6329 0.0000 Os
4.6329 1.0348 0.0000 Os
1.0348 2.5634 0.0000 Os
1.1207 4.7189 1.5292 Ti
4.7189 6.0756 1.5292 Ti
6.0756 2.4774 1.5292 Ti
2.4774 1.1207 1.5292 Ti
```

Calculated values
The total DFT energy (no corrections) comes out at -9.52 eV/atom. The formation energy from the elements comes out at -0.05 eV per atom. Its calculated density is 11.05 g/cm3.

=====

> total DFT energy (no corrections) of number 3 (TaTiF2)?

-6.29 eV/atom

=====

> Which of these has the lowest total DFT energy (no corrections)?

Ti2VOs2